1.
A geometry-optimized Li3Ag3Au5 structure. Source: the Alexandria database, functional PBE.

## Properties
- formation enthalpy at 0 K (kJ per mole of atoms) = 0.7
- theoretical density (kg/m³) = 10144
- E (eV/atom) = -2.782

Unit cell a=4.185 b=7.749 c=7.749 alpha=120.00 beta=90.00 gamma=90.00
Atoms (fractional coordinates):
1 Li 0.500 0.635 0.635
2 Li 0.500 0.000 0.365
3 Li 0.500 0.365 0.000
4 Ag 0.000 0.438 0.438
5 Ag 0.000 0.562 0.000
6 Ag 0.000 0.000 0.562
7 Au 0.500 0.333 0.667
8 Au 0.500 0.667 0.333
9 Au 0.500 0.209 0.209
10 Au 0.500 0.000 0.791
11 Au 0.500 0.791 0.000

***

2.
A geometry-optimized CaY2VMo structure. Source: the Alexandria database, functional PBE.

## Properties
- formation enthalpy at 0 K (kJ per mole of atoms) = 52.3
- theoretical density (kg/m³) = 4221
- E (eV/atom) = -6.433

Unit cell a=5.547 b=4.663 c=5.547 alpha=90.00 beta=90.00 gamma=90.00
Last column: magnetic moment on the atom in μB.
Atoms (fractional coordinates):
1 Y 0.000 0.000 0.500  0.02
2 Y 0.500 0.000 0.000  0.03
3 Mo 0.000 0.000 0.000  -0.47
4 Ca 0.500 0.500 0.500  0.01
5 V 0.000 0.500 0.000  1.49

***

3.
A geometry-optimized PmPaPb structure. Source: the Alexandria database, functional PBE.

## Properties
- formation enthalpy at 0 K (kJ per mole of atoms) = 25.9
- theoretical density (kg/m³) = 11757
- E (eV/atom) = -5.717

Unit cell a=3.285 b=5.381 c=5.381 alpha=120.00 beta=90.00 gamma=90.00
Last column: magnetic moment on the atom in μB.
Atoms (fractional coordinates):
1 Pb 0.667 0.667 0.333  -0.01
2 Pa 0.166 0.333 0.667  0.39
3 Pm 0.166 0.000 0.000  0.01

***

4.
A geometry-optimized TcAgAs4 structure. Source: the Alexandria database, functional PBE.

## Properties
- formation enthalpy at 0 K (kJ per mole of atoms) = 75.4
- theoretical density (kg/m³) = 7270
- E (eV/atom) = -4.521

Unit cell a=5.466 b=5.466 c=5.466 alpha=60.00 beta=60.00 gamma=60.00
Last column: magnetic moment on the atom in μB.
Atoms (fractional coordinates):
1 Tc 0.750 0.750 0.750  2.33
2 Ag 0.000 0.000 0.000  0.00
3 As 0.876 0.375 0.375  0.01
4 As 0.375 0.375 0.876  0.01
5 As 0.375 0.876 0.375  0.01
6 As 0.375 0.375 0.375  0.01

***

5.
A geometry-optimized CaLaTiNi2 structure. Source: the Alexandria database, functional PBE.

## Properties
- formation enthalpy at 0 K (kJ per mole of atoms) = 43.7
- theoretical density (kg/m³) = 5208
- E (eV/atom) = -4.825

Unit cell a=4.677 b=5.017 c=4.677 alpha=90.00 beta=90.00 gamma=90.00
Last column: magnetic moment on the atom in μB.
Atoms (fractional coordinates):
1 Ni 0.000 0.000 0.500  -0.03
2 Ni 0.500 0.000 0.000  -0.02
3 Ca 0.000 0.500 0.000  0.06
4 Ti 0.000 0.000 0.000  0.25
5 La 0.500 0.500 0.500  -0.02

***

6.
A geometry-optimized SrGeH structure. Source: the Alexandria database, functional PBE.

## Properties
- theoretical density (kg/m³) = 4318
- E (eV/atom) = -3.640

Unit cell a=4.101 b=4.101 c=8.857 alpha=89.83 beta=103.47 gamma=120.22
Atoms (fractional coordinates):
1 Sr 0.524 0.031 0.555
2 Sr 0.105 0.824 0.929
3 Ge 0.953 0.247 0.200
4 Ge 0.698 0.619 0.318
5 H 0.289 0.411 0.700
6 H 0.711 0.125 0.836

***

no.,M_tot (μB/atom)
1,0.00
2,0.32
3,0.16
4,0.44
5,0.05
6,0.00